P) DFT (PBE-GGA) results for crystalline SrY2Sb2 at its relaxed geometry.

a b c (Å): 6.8259 6.8259 6.8259
angles (deg): 129.80 129.80 73.73
Sites, in units of the cell vectors:
Sr1 0.0000 0.0000 0.0000
Y1 0.3307 0.3307 0.0000
Y2 0.6693 0.6693 0.0000
Sb1 0.2500 0.7500 0.5000
Sb2 0.7500 0.2500 0.5000

Output
ρ: 4614 kg/m3
Total magnetic moment: 0.00 μB/atom

***

Q) DFT (PBE-GGA) results for crystalline SrY2Sb2 at its relaxed geometry.

a b c (Å): 8.5643 8.5643 4.1578
angles (deg): 90.00 90.00 90.00
Sites, in units of the cell vectors:
Sr1 0.0000 0.0000 0.0000
Sr2 0.5000 0.5000 0.0000
Y1 0.1512 0.3488 0.5000
Y2 0.3488 0.8488 0.5000
Y3 0.6512 0.1512 0.5000
Y4 0.8488 0.6512 0.5000
Sb1 0.1463 0.6463 0.0000
Sb2 0.3537 0.1463 0.0000
Sb3 0.6463 0.8537 0.0000
Sb4 0.8537 0.3537 0.0000

Output
ρ: 5543 kg/m3
Total magnetic moment: 0.00 μB/atom

***

R) DFT (PBE-GGA) results for crystalline SrY2Sb2 at its relaxed geometry.

a b c (Å): 7.8732 7.8732 7.8732
angles (deg): 144.01 144.01 51.81
Sites, in units of the cell vectors:
Sr1 0.0000 0.0000 0.0000
Y1 0.2500 0.7500 0.5000
Y2 0.7500 0.2500 0.5000
Sb1 0.3840 0.3840 0.0000
Sb2 0.6160 0.6160 0.0000

Output
ρ: 5042 kg/m3
Total magnetic moment: 0.22 μB/atom

***

Most stable structure, least stable structure: Q), P).